No. 1
Material: Pu3IrAu2
Method: DFT, PBE
State: relaxed

abc: 3.378 3.378 11.845
angles: 90.00 90.00 90.00
Atoms (fractional coordinates):
Pu (0.000, 0.000, 0.000)
Pu (0.000, 0.000, 0.355)
Pu (0.000, 0.000, 0.645)
Ir (0.500, 0.500, 0.500)
Au (0.500, 0.500, 0.174)
Au (0.500, 0.500, 0.826)

Computed properties:
The total energy is -61.0 eV for the cell shown. Its energy of formation from the pure elements is -0.431 eV/atom. Its space group is No. 123.

---

No. 2
Material: Pu5Ir2Au2
Method: DFT, PBE
State: relaxed

abc: 8.417 8.417 7.607
angles: 90.00 90.00 54.13
Atoms (fractional coordinates):
Pu (0.000, 0.000, 0.000)
Pu (0.041, 0.707, 0.664)
Pu (0.207, 0.541, 0.164)
Pu (0.293, 0.959, 0.664)
Pu (0.459, 0.793, 0.164)
Pu (0.500, 0.500, 0.500)
Pu (0.541, 0.207, 0.836)
Pu (0.707, 0.041, 0.336)
Pu (0.793, 0.459, 0.836)
Pu (0.959, 0.293, 0.336)
Ir (0.137, 0.863, 0.362)
Ir (0.363, 0.637, 0.862)
Ir (0.637, 0.363, 0.138)
Ir (0.863, 0.137, 0.638)
Au (0.209, 0.209, 0.000)
Au (0.291, 0.291, 0.500)
Au (0.709, 0.709, 0.500)
Au (0.791, 0.791, 0.000)

Computed properties:
The total energy is -199.4 eV for the cell shown. Its energy of formation from the pure elements is -0.419 eV/atom. Its space group is No. 64.

---

No. 3
Material: Pu2IrAu
Method: DFT, PBE
State: relaxed

abc: 3.378 3.378 7.713
angles: 90.00 90.00 90.00
Atoms (fractional coordinates):
Pu (0.000, 0.000, 0.224)
Pu (0.000, 0.000, 0.776)
Ir (0.500, 0.500, 0.000)
Au (0.500, 0.500, 0.500)

Computed properties:
The total energy is -42.6 eV for the cell shown. Its energy of formation from the pure elements is -0.460 eV/atom. Its space group is No. 123.

---

No. 4
Material: Pu4Ir2Au
Method: DFT, PBE
State: relaxed

abc: 7.502 7.502 7.502
angles: 109.29 109.29 109.84
Atoms (fractional coordinates):
Pu (0.104, 0.507, 0.744)
Pu (0.110, 0.013, 0.756)
Pu (0.257, 0.354, 0.244)
Pu (0.493, 0.237, 0.597)
Pu (0.640, 0.896, 0.403)
Pu (0.646, 0.890, 0.903)
Pu (0.763, 0.360, 0.256)
Pu (0.987, 0.743, 0.097)
Ir (0.013, 0.125, 0.388)
Ir (0.375, 0.987, 0.112)
Ir (0.737, 0.625, 0.612)
Ir (0.875, 0.263, 0.888)
Au (0.250, 0.750, 0.500)
Au (0.500, 0.500, 0.000)

Computed properties:
The total energy is -162.5 eV for the cell shown. Its energy of formation from the pure elements is -0.414 eV/atom. Its space group is No. 122.

---

No. 5
Material: PuIr4Au
Method: DFT, PBE
State: relaxed

abc: 5.282 5.282 5.282
angles: 60.00 60.00 60.00
Atoms (fractional coordinates):
Pu (0.000, 0.000, 0.000)
Ir (0.126, 0.625, 0.625)
Ir (0.625, 0.126, 0.625)
Ir (0.625, 0.625, 0.126)
Ir (0.625, 0.625, 0.625)
Au (0.250, 0.250, 0.250)

Computed properties:
The total energy is -54.1 eV for the cell shown. Its energy of formation from the pure elements is -0.171 eV/atom. Its space group is No. 216.

---

No. 6
Material: Pu4Ir2Au
Method: DFT, PBE
State: relaxed

abc: 7.635 7.635 7.635
angles: 36.85 36.85 36.85
Atoms (fractional coordinates):
Pu (0.070, 0.070, 0.070)
Pu (0.233, 0.233, 0.233)
Pu (0.767, 0.767, 0.767)
Pu (0.930, 0.930, 0.930)
Ir (0.364, 0.364, 0.364)
Ir (0.636, 0.636, 0.636)
Au (0.500, 0.500, 0.500)

Computed properties:
The total energy is -79.9 eV for the cell shown. Its energy of formation from the pure elements is -0.228 eV/atom. Its space group is No. 166.

---

No. 7
Material: Pu5Ir2Au
Method: DFT, PBE
State: relaxed

abc: 5.850 11.866 5.098
angles: 90.00 90.00 90.00
Atoms (fractional coordinates):
Pu (0.000, 0.000, 0.000)
Pu (0.092, 0.370, 0.500)
Pu (0.213, 0.743, 0.000)
Pu (0.287, 0.243, 0.000)
Pu (0.408, 0.870, 0.500)
Pu (0.500, 0.500, 0.000)
Pu (0.592, 0.130, 0.500)
Pu (0.713, 0.757, 0.000)
Pu (0.787, 0.257, 0.000)
Pu (0.908, 0.630, 0.500)
Ir (0.082, 0.123, 0.500)
Ir (0.418, 0.623, 0.500)
Ir (0.582, 0.377, 0.500)
Ir (0.918, 0.877, 0.500)
Au (0.000, 0.500, 0.000)
Au (0.500, 0.000, 0.000)

Computed properties:
The total energy is -189.1 eV for the cell shown. Its energy of formation from the pure elements is -0.236 eV/atom. Its space group is No. 55.

---

No. 8
Material: PuIrRhAu
Method: DFT, PBE
State: relaxed

abc: 4.655 4.655 4.655
angles: 60.00 60.00 60.00
Atoms (fractional coordinates):
Pu (0.000, 0.000, 0.000)
Ir (0.750, 0.750, 0.750)
Rh (0.250, 0.250, 0.250)
Au (0.500, 0.500, 0.500)

Computed properties:
The total energy is -34.8 eV for the cell shown. Its energy of formation from the pure elements is -0.251 eV/atom. Its space group is No. 216.

---

No. 9
Material: Pu2Si4Ir3Au
Method: DFT, PBE
State: relaxed

abc: 4.180 4.180 10.012
angles: 90.00 90.00 90.00
Atoms (fractional coordinates):
Pu (0.000, 0.500, 0.238)
Pu (0.500, 0.000, 0.762)
Si (0.000, 0.000, 0.000)
Si (0.000, 0.500, 0.640)
Si (0.500, 0.000, 0.360)
Si (0.500, 0.500, 0.000)
Ir (0.000, 0.500, 0.876)
Ir (0.500, 0.000, 0.124)
Ir (0.500, 0.500, 0.500)
Au (0.000, 0.000, 0.500)

Computed properties:
The total energy is -87.1 eV for the cell shown. The calculation puts the uncorrected formation energy at -6.9 eV/f.u. Its space group is No. 115.

---

No. 10
Material: TbPuIrAu
Method: DFT, PBE
State: relaxed

abc: 4.991 4.991 4.991
angles: 60.00 60.00 60.00
Atoms (fractional coordinates):
Tb (0.000, 0.000, 0.000)
Pu (0.500, 0.500, 0.500)
Ir (0.250, 0.250, 0.250)
Au (0.750, 0.750, 0.750)

Computed properties:
The total energy is -33.4 eV for the cell shown. Its energy of formation from the pure elements is -0.568 eV/atom. Its space group is No. 216.

---

No. 11
Material: TmPuIrAu
Method: DFT, PBE
State: relaxed

abc: 4.952 4.952 4.952
angles: 60.00 60.00 60.00
Atoms (fractional coordinates):
Tm (0.000, 0.000, 0.000)
Pu (0.500, 0.500, 0.500)
Ir (0.250, 0.250, 0.250)
Au (0.750, 0.750, 0.750)

Computed properties:
The total energy is -33.3 eV for the cell shown. Its energy of formation from the pure elements is -0.595 eV/atom. Its space group is No. 216.

---

No. 12
Material: PuUIrAu
Method: DFT, PBE
State: relaxed

abc: 4.959 4.959 4.959
angles: 60.00 60.00 60.00
Atoms (fractional coordinates):
Pu (0.000, 0.000, 0.000)
U (0.500, 0.500, 0.500)
Ir (0.750, 0.750, 0.750)
Au (0.250, 0.250, 0.250)

Computed properties:
The total energy is -38.5 eV for the cell shown. Its energy of formation from the pure elements is -0.186 eV/atom. Its space group is No. 216.

---

No. 13
Material: PuZnIrAu
Method: DFT, PBE
State: relaxed

abc: 4.750 4.750 4.750
angles: 60.00 60.00 60.00
Atoms (fractional coordinates):
Pu (0.000, 0.000, 0.000)
Zn (0.500, 0.500, 0.500)
Ir (0.750, 0.750, 0.750)
Au (0.250, 0.250, 0.250)

Computed properties:
The total energy is -28.5 eV for the cell shown. Its energy of formation from the pure elements is -0.201 eV/atom. Its space group is No. 216.

---

No. 14
Material: RbIr2Au
Method: DFT, PBE
State: relaxed

abc: 4.785 4.785 4.785
angles: 60.00 60.00 60.00
Atoms (fractional coordinates):
Rb (0.000, 0.000, 0.000)
Ir (0.250, 0.250, 0.250)
Ir (0.750, 0.750, 0.750)
Au (0.500, 0.500, 0.500)

Computed properties:
The total energy is -15.8 eV for the cell shown. Its energy of formation from the pure elements is 1.540 eV/atom. Its space group is No. 225.

---

No. 15
Material: Rb2IrAu
Method: DFT, PBE
State: relaxed

abc: 5.855 5.855 5.855
angles: 60.00 60.00 60.00
Atoms (fractional coordinates):
Rb (0.250, 0.250, 0.250)
Rb (0.750, 0.750, 0.750)
Ir (0.000, 0.000, 0.000)
Au (0.500, 0.500, 0.500)

Computed properties:
The total energy is -10.6 eV for the cell shown. Its energy of formation from the pure elements is 0.859 eV/atom. Its space group is No. 225.

---

No. 16
Material: RbIrAu3
Method: DFT, PBE
State: relaxed

abc: 5.169 5.169 5.169
angles: 90.00 90.00 90.00
Atoms (fractional coordinates):
Rb (0.000, 0.000, 0.000)
Ir (0.500, 0.500, 0.500)
Au (0.000, 0.500, 0.500)
Au (0.500, 0.000, 0.500)
Au (0.500, 0.500, 0.000)

Computed properties:
The total energy is -17.7 eV for the cell shown. Its energy of formation from the pure elements is 0.388 eV/atom. Its space group is No. 221.

---

No. 17
Material: RbIr2Au
Method: DFT, PBE
State: relaxed

abc: 10.163 10.163 10.163
angles: 152.73 152.73 38.95
Atoms (fractional coordinates):
Rb (0.000, 0.000, 0.000)
Rb (0.750, 0.250, 0.500)
Ir (0.345, 0.625, 0.220)
Ir (0.375, 0.595, 0.720)
Ir (0.405, 0.125, 0.780)
Ir (0.875, 0.655, 0.280)
Au (0.250, 0.750, 0.500)
Au (0.500, 0.500, 0.000)

Computed properties:
The total energy is -37.7 eV for the cell shown. Its energy of formation from the pure elements is 0.778 eV/atom. Its space group is No. 122.

---

No. 18
Material: Rb2IrAu
Method: DFT, PBE
State: relaxed

abc: 9.160 9.160 9.160
angles: 94.35 94.35 148.03
Atoms (fractional coordinates):
Rb (0.375, 0.179, 0.304)
Rb (0.821, 0.125, 0.196)
Rb (0.875, 0.071, 0.696)
Rb (0.929, 0.625, 0.804)
Ir (0.000, 0.000, 0.000)
Ir (0.750, 0.250, 0.500)
Au (0.250, 0.750, 0.500)
Au (0.500, 0.500, 0.000)

Computed properties:
The total energy is -23.8 eV for the cell shown. Its energy of formation from the pure elements is 0.540 eV/atom. Its space group is No. 122.

---

No. 19
Material: RbSiIr2Au
Method: DFT, PBE
State: relaxed

abc: 4.609 4.609 4.990
angles: 90.00 90.00 90.00
Atoms (fractional coordinates):
Rb (0.000, 0.000, 0.000)
Si (0.500, 0.500, 0.500)
Ir (0.000, 0.500, 0.500)
Ir (0.500, 0.000, 0.500)
Au (0.500, 0.500, 0.000)

Computed properties:
The total energy is -24.7 eV for the cell shown. The calculation puts the uncorrected formation energy at 2.7 eV/f.u. Its space group is No. 123.

---

No. 20
Material: RbSrIr2Au
Method: DFT, PBE
State: relaxed

abc: 5.299 5.299 5.950
angles: 90.00 90.00 90.00
Atoms (fractional coordinates):
Rb (0.000, 0.000, 0.000)
Sr (0.500, 0.500, 0.500)
Ir (0.000, 0.500, 0.500)
Ir (0.500, 0.000, 0.500)
Au (0.500, 0.500, 0.000)

Computed properties:
The total energy is -15.9 eV for the cell shown. Its energy of formation from the pure elements is 1.552 eV/atom. Its space group is No. 123.